1.
! Ho2SbAs, relaxed, DFT PBE-GGA; values from VASP
! - raw formation energy (meV per atom) = -1202
! - final energy (eV/atom) = -5.6834
! - SG = R3m (160)
&SYSTEM
  ibrav = 0, nat = 4, ntyp = 3
/
ATOMIC_SPECIES
As 74.92 As.upf
Sb 121.76 Sb.upf
Ho 164.93 Ho.upf
CELL_PARAMETERS angstrom
4.1925 0.0000 0.0000
2.0962 3.6308 0.0000
2.0962 1.2103 7.1648
ATOMIC_POSITIONS crystal
As 0.6684 0.6684 0.9949
Sb 0.4989 0.4989 0.5032
Ho 0.0758 0.0758 0.7726
Ho 0.2569 0.2569 0.2292



2.
! Ho3SbAs2, relaxed, DFT PBE-GGA; values from VASP
! - raw formation energy (meV per atom) = -1012
! - final energy (eV/atom) = -5.5382
! - SG = C2/m (12)
&SYSTEM
  ibrav = 0, nat = 12, ntyp = 3
/
ATOMIC_SPECIES
Sb 121.76 Sb.upf
Ho 164.93 Ho.upf
As 74.92 As.upf
CELL_PARAMETERS angstrom
-0.3613 -1.0659 3.9284
7.4756 -0.4674 -1.5648
3.7563 9.6837 2.9729
ATOMIC_POSITIONS crystal
Sb 0.2333 0.4666 0.1973
Sb 0.7667 0.5334 0.8027
Ho 0.3563 0.7126 0.5673
Ho 0.6185 0.2369 0.0743
Ho 0.3815 0.7631 0.9257
Ho 0.8792 0.7584 0.2407
Ho 0.1208 0.2416 0.7593
Ho 0.6437 0.2874 0.4327
As 0.0000 0.0000 0.5000
As 0.5104 0.0207 0.6858
As 0.0000 0.0000 0.0000
As 0.4896 0.9793 0.3142